1.
Density functional theory data (PBE) for a geometry-optimized TcPb2Cl structure.

Cell: 10.106 10.106 10.106 Å, 19.49 19.49 19.49°
Atoms (fractional coordinates):
1 Tc 0.000 0.000 0.000
2 Pb 0.505 0.505 0.505
3 Pb 0.743 0.743 0.743
4 Cl 0.290 0.290 0.290

- space-group type = R3m, No. 160
- uncorrected formation energy (kJ per mole of atoms) = 22.4
- calculated total energy (eV per atom) = -4.68
- polymorph energy (0 for the lowest one) (meV/atom) = 46.9

---

2.
Density functional theory data (PBE) for a geometry-optimized TcPbCl structure.

Cell: 4.700 4.700 4.700 Å, 60.00 60.00 60.00°
Atoms (fractional coordinates):
1 Tc 0.000 0.000 0.000
2 Pb 0.250 0.250 0.250
3 Cl 0.750 0.750 0.750

- space-group type = F-43m, No. 216
- uncorrected formation energy (kJ per mole of atoms) = 67.1
- calculated total energy (eV per atom) = -4.61
- polymorph energy (0 for the lowest one) (meV/atom) = 485.2

---

3.
Density functional theory data (PBE) for a geometry-optimized Tc2PbCl structure.

Cell: 4.896 4.896 4.896 Å, 134.32 117.45 80.82°
Atoms (fractional coordinates):
1 Tc 0.193 0.193 0.000
2 Tc 0.807 0.807 0.000
3 Pb 0.500 0.000 0.500
4 Cl 0.000 0.500 0.500

- space-group type = Immm, No. 71
- uncorrected formation energy (kJ per mole of atoms) = 91.8
- calculated total energy (eV per atom) = -5.62
- polymorph energy (0 for the lowest one) (meV/atom) = 907.5